Density functional theory data (GGA-PBE) for an optimized crystal structure of UNi4Rh2.

## Properties
Energy   -6.799 eV per atom
Energy relative to the elements   0.22 eV/atom
DOS(E_F)   11.95 states/eV/f.u.

Cell: 4.6940 4.6939 5.7517 Å, 114.09 114.09 89.96°
Site moments in Bohr magnetons follow the coordinates.
Atoms (fractional coordinates):
U1 0.0000 0.0000 0.0000  -1.37
Ni1 0.7501 0.2499 0.5000  0.31
Ni2 0.2499 0.7501 0.5000  0.31
Ni3 0.5000 0.0000 0.0000  0.10
Ni4 0.0000 0.5000 0.0000  0.10
Rh1 0.6396 0.6396 0.2792  0.16
Rh2 0.3604 0.3604 0.7208  0.16